Entry 1:
# GGA-PBE FeIr3W, relaxed
# calculated formation energy: 2.1353 eV per atom
# total moment: 0.002 μB/atom
data_FeIr3W
_symmetry_space_group_name_H-M 'P 1'
_symmetry_Int_Tables_number 1
_cell_length_a 4.718
_cell_length_b 4.718
_cell_length_c 4.718
_cell_angle_alpha 90.00
_cell_angle_beta 90.00
_cell_angle_gamma 90.00
loop_
_symmetry_equiv_pos_as_xyz
'x,y,z'
loop_
_atom_site_label
_atom_site_type_symbol
_atom_site_fract_x
_atom_site_fract_y
_atom_site_fract_z
Fe1 Fe 0.000 0.000 0.000
Ir1 Ir 0.000 0.500 0.500
Ir2 Ir 0.500 0.000 0.500
Ir3 Ir 0.500 0.500 0.000
W1 W 0.500 0.500 0.500

Entry 2:
# GGA-PBE LiVCdN2, relaxed
# total moment: 0.179 μB/atom
# ΔE_f (raw): 0.49 eV/atom
data_LiVCdN2
_symmetry_space_group_name_H-M 'P 1'
_symmetry_Int_Tables_number 1
_cell_length_a 3.778
_cell_length_b 3.778
_cell_length_c 5.533
_cell_angle_alpha 90.00
_cell_angle_beta 90.00
_cell_angle_gamma 90.00
loop_
_symmetry_equiv_pos_as_xyz
'x,y,z'
loop_
_atom_site_label
_atom_site_type_symbol
_atom_site_fract_x
_atom_site_fract_y
_atom_site_fract_z
Li1 Li 0.000 0.000 0.000
V1 V 0.000 0.000 0.500
Cd1 Cd 0.500 0.500 0.000
N1 N 0.000 0.500 0.500
N2 N 0.500 0.000 0.500

Entry 3:
# GGA-PBE Dy2Pd3Pt3, relaxed
# calculated formation energy: -0.9601 eV per atom
# total moment: 0.000 μB/atom
data_Dy2Pd3Pt3
_symmetry_space_group_name_H-M 'P 1'
_symmetry_Int_Tables_number 1
_cell_length_a 4.115
_cell_length_b 4.144
_cell_length_c 8.195
_cell_angle_alpha 90.00
_cell_angle_beta 90.00
_cell_angle_gamma 90.00
loop_
_symmetry_equiv_pos_as_xyz
'x,y,z'
loop_
_atom_site_label
_atom_site_type_symbol
_atom_site_fract_x
_atom_site_fract_y
_atom_site_fract_z
Dy1 Dy 0.000 0.000 0.250
Dy2 Dy 0.000 0.000 0.750
Pd1 Pd 0.000 0.500 0.000
Pd2 Pd 0.500 0.000 0.000
Pd3 Pd 0.500 0.000 0.500
Pt1 Pt 0.000 0.500 0.500
Pt2 Pt 0.500 0.500 0.250
Pt3 Pt 0.500 0.500 0.750

Entry 4:
# GGA-PBE YP2RhO, relaxed
# total moment: 0.057 μB/atom
# ΔE_f (raw): 0.43 eV/atom
data_YP2RhO
_symmetry_space_group_name_H-M 'P 1'
_symmetry_Int_Tables_number 1
_cell_length_a 5.302
_cell_length_b 5.302
_cell_length_c 4.055
_cell_angle_alpha 90.00
_cell_angle_beta 90.00
_cell_angle_gamma 90.00
loop_
_symmetry_equiv_pos_as_xyz
'x,y,z'
loop_
_atom_site_label
_atom_site_type_symbol
_atom_site_fract_x
_atom_site_fract_y
_atom_site_fract_z
Y1 Y 0.000 0.000 0.000
P1 P 0.000 0.500 0.000
P2 P 0.500 0.000 0.000
Rh1 Rh 0.500 0.500 0.500
O1 O 0.000 0.000 0.500

Entry 5:
# GGA-PBE RbLaZnS, relaxed
# total moment: 0.000 μB/atom
# ΔE_f (raw): -0.62 eV/atom
data_RbLaZnS
_symmetry_space_group_name_H-M 'P 1'
_symmetry_Int_Tables_number 1
_cell_length_a 3.742
_cell_length_b 5.036
_cell_length_c 5.825
_cell_angle_alpha 90.00
_cell_angle_beta 90.00
_cell_angle_gamma 90.00
loop_
_symmetry_equiv_pos_as_xyz
'x,y,z'
loop_
_atom_site_label
_atom_site_type_symbol
_atom_site_fract_x
_atom_site_fract_y
_atom_site_fract_z
Rb1 Rb 0.000 0.000 0.000
La1 La 0.000 0.500 0.499
Zn1 Zn 0.500 0.500 0.997
S1 S 0.500 0.000 0.499

Entry 6:
# GGA-PBE SmErSb, relaxed
# total moment: 0.000 μB/atom
# ΔE_f (raw): -0.54 eV/atom
data_SmErSb
_symmetry_space_group_name_H-M 'P 1'
_symmetry_Int_Tables_number 1
_cell_length_a 5.101
_cell_length_b 5.101
_cell_length_c 5.101
_cell_angle_alpha 60.00
_cell_angle_beta 60.00
_cell_angle_gamma 60.00
loop_
_symmetry_equiv_pos_as_xyz
'x,y,z'
loop_
_atom_site_label
_atom_site_type_symbol
_atom_site_fract_x
_atom_site_fract_y
_atom_site_fract_z
Sm1 Sm 0.000 0.000 0.000
Er1 Er 0.500 0.500 0.500
Sb1 Sb 0.250 0.250 0.250

Entry 7:
# GGA-PBE TlFe2Pt, relaxed
# calculated formation energy: 0.1891 eV per atom
# total moment: 1.391 μB/atom
data_TlFe2Pt
_symmetry_space_group_name_H-M 'P 1'
_symmetry_Int_Tables_number 1
_cell_length_a 2.973
_cell_length_b 3.272
_cell_length_c 6.497
_cell_angle_alpha 90.00
_cell_angle_beta 90.00
_cell_angle_gamma 90.00
loop_
_symmetry_equiv_pos_as_xyz
'x,y,z'
loop_
_atom_site_label
_atom_site_type_symbol
_atom_site_fract_x
_atom_site_fract_y
_atom_site_fract_z
Tl1 Tl 0.000 0.000 0.000
Fe1 Fe 0.000 0.000 0.465
Fe2 Fe 0.500 0.500 0.278
Pt1 Pt 0.500 0.500 0.696

Entry 8:
# GGA-PBE LaTb4Sm7, relaxed
# calculated formation energy: 0.0057 eV per atom
# total moment: 0.000 μB/atom
data_LaTb4Sm7
_symmetry_space_group_name_H-M 'P 1'
_symmetry_Int_Tables_number 1
_cell_length_a 6.320
_cell_length_b 7.295
_cell_length_c 9.002
_cell_angle_alpha 89.98
_cell_angle_beta 76.34
_cell_angle_gamma 90.00
loop_
_symmetry_equiv_pos_as_xyz
'x,y,z'
loop_
_atom_site_label
_atom_site_type_symbol
_atom_site_fract_x
_atom_site_fract_y
_atom_site_fract_z
La1 La 0.000 0.000 0.000
Tb1 Tb 0.219 0.500 0.334
Tb2 Tb 0.279 0.253 0.665
Tb3 Tb 0.721 0.747 0.335
Tb4 Tb 0.781 0.500 0.666
Sm1 Sm 0.000 0.500 0.000
Sm2 Sm 0.222 0.000 0.335
Sm3 Sm 0.280 0.748 0.664
Sm4 Sm 0.500 0.253 0.000
Sm5 Sm 0.500 0.747 0.000
Sm6 Sm 0.720 0.252 0.336
Sm7 Sm 0.778 0.000 0.665

Entry 9:
# GGA-PBE Li2CrAu, relaxed
# calculated formation energy: -0.0228 eV per atom
# total moment: 1.096 μB/atom
data_Li2CrAu
_symmetry_space_group_name_H-M 'P 1'
_symmetry_Int_Tables_number 1
_cell_length_a 3.936
_cell_length_b 3.936
_cell_length_c 4.146
_cell_angle_alpha 90.00
_cell_angle_beta 90.00
_cell_angle_gamma 90.00
loop_
_symmetry_equiv_pos_as_xyz
'x,y,z'
loop_
_atom_site_label
_atom_site_type_symbol
_atom_site_fract_x
_atom_site_fract_y
_atom_site_fract_z
Li1 Li 0.000 0.500 0.000
Li2 Li 0.500 0.000 0.000
Cr1 Cr 0.000 0.000 0.500
Au1 Au 0.500 0.500 0.500

Entry 10:
# GGA-PBE YAgC, relaxed
# calculated formation energy: -0.0204 eV per atom
# total moment: 0.000 μB/atom
data_YAgC
_symmetry_space_group_name_H-M 'P 1'
_symmetry_Int_Tables_number 1
_cell_length_a 7.531
_cell_length_b 7.531
_cell_length_c 4.394
_cell_angle_alpha 91.53
_cell_angle_beta 91.53
_cell_angle_gamma 151.43
loop_
_symmetry_equiv_pos_as_xyz
'x,y,z'
loop_
_atom_site_label
_atom_site_type_symbol
_atom_site_fract_x
_atom_site_fract_y
_atom_site_fract_z
Y1 Y 0.000 0.000 0.000
Y2 Y 0.691 0.309 0.500
Ag1 Ag 0.324 0.676 0.000
Ag2 Ag 0.437 0.563 0.500
C1 C 0.069 0.736 0.116
C2 C 0.264 0.931 0.884

Entry 11:
# GGA-PBE Ba2FeMo, relaxed
# calculated formation energy: 0.6822 eV per atom
# total moment: 0.291 μB/atom
data_Ba2FeMo
_symmetry_space_group_name_H-M 'P 1'
_symmetry_Int_Tables_number 1
_cell_length_a 3.451
_cell_length_b 3.451
_cell_length_c 9.852
_cell_angle_alpha 90.00
_cell_angle_beta 90.00
_cell_angle_gamma 90.00
loop_
_symmetry_equiv_pos_as_xyz
'x,y,z'
loop_
_atom_site_label
_atom_site_type_symbol
_atom_site_fract_x
_atom_site_fract_y
_atom_site_fract_z
Ba1 Ba 0.000 0.000 0.000
Ba2 Ba 0.500 0.500 0.410
Fe1 Fe 0.000 0.000 0.674
Mo1 Mo 0.500 0.500 0.727

Entry 12:
# GGA-PBE Na3Cd4Hg8, relaxed
# calculated formation energy: -0.1404 eV per atom
# total moment: 0.000 μB/atom
data_Na3Cd4Hg8
_symmetry_space_group_name_H-M 'P 1'
_symmetry_Int_Tables_number 1
_cell_length_a 10.183
_cell_length_b 10.183
_cell_length_c 10.183
_cell_angle_alpha 60.00
_cell_angle_beta 60.00
_cell_angle_gamma 60.00
loop_
_symmetry_equiv_pos_as_xyz
'x,y,z'
loop_
_atom_site_label
_atom_site_type_symbol
_atom_site_fract_x
_atom_site_fract_y
_atom_site_fract_z
Na1 Na 0.250 0.250 0.750
Na2 Na 0.250 0.750 0.250
Na3 Na 0.250 0.750 0.750
Na4 Na 0.750 0.250 0.250
Na5 Na 0.750 0.250 0.750
Na6 Na 0.750 0.750 0.250
Cd1 Cd 0.000 0.000 0.000
Cd2 Cd 0.000 0.000 0.500
Cd3 Cd 0.000 0.500 0.000
Cd4 Cd 0.000 0.500 0.500
Cd5 Cd 0.500 0.000 0.000
Cd6 Cd 0.500 0.000 0.500
Cd7 Cd 0.500 0.500 0.000
Cd8 Cd 0.500 0.500 0.500
Hg1 Hg 0.108 0.631 0.631
Hg2 Hg 0.131 0.131 0.131
Hg3 Hg 0.131 0.131 0.608
Hg4 Hg 0.131 0.608 0.131
Hg5 Hg 0.369 0.369 0.369
Hg6 Hg 0.369 0.369 0.892
Hg7 Hg 0.369 0.892 0.369
Hg8 Hg 0.392 0.869 0.869
Hg9 Hg 0.608 0.131 0.131
Hg10 Hg 0.631 0.108 0.631
Hg11 Hg 0.631 0.631 0.108
Hg12 Hg 0.631 0.631 0.631
Hg13 Hg 0.869 0.392 0.869
Hg14 Hg 0.869 0.869 0.392
Hg15 Hg 0.869 0.869 0.869
Hg16 Hg 0.892 0.369 0.369